Entry from Alexandria via LeMat-Bulk: a relaxed structure of VBi2BIr (PBE).

The structure in POSCAR format:
```
VBi2BIr
1.0
-3.983 2.505 -2.818
-2.569 -2.666 1.262
-1.113 3.136 4.360
Ir Bi B V
1 2 1 1
Direct
0.000 0.000 0.000 Ir
0.000 0.000 0.500 Bi
0.500 0.000 0.000 Bi
0.000 0.500 0.000 B
0.500 0.500 0.500 V
```

formation energy: 1011 meV per atom

---

Entry from Alexandria via LeMat-Bulk: a relaxed structure of YBiBIr2 (PBE).

The structure in POSCAR format:
```
YBiBIr2
1.0
-0.960 -4.253 -2.533
4.644 -2.527 2.484
-2.904 -1.606 3.797
B Bi Y Ir
1 1 1 2
Direct
0.500 0.500 0.500 B
0.000 0.500 0.000 Bi
0.000 0.000 0.000 Y
0.500 0.000 0.000 Ir
0.000 0.000 0.500 Ir
```

formation energy: 2377 meV per atom

---

Q: formation energy of number 2 (YBiBIr2)?
A: 2377 meV per atom